The following is a DFT calculation (PBE) of crystalline Ag2PdI4 at its relaxed geometry.

Summary:
* raw formation energy: -0.12 eV per atom
* uncorrected energy: -17.931 eV per cell

abc: 6.769 6.769 6.769
angles: 114.71 114.71 99.43
Fractional positions:
Ag1 0.250 0.750 0.500
Ag2 0.750 0.250 0.500
Pd1 0.000 0.000 0.000
I1 0.161 0.670 0.000
I2 0.330 0.330 0.491
I3 0.670 0.161 0.000
I4 0.839 0.839 0.509

***

The following is a DFT calculation (PBE) of crystalline SnBi2Br at its relaxed geometry.

Summary:
* raw formation energy: 0.14 eV per atom
* uncorrected energy: -25.763 eV per cell

abc: 8.000 8.000 8.000
angles: 123.18 123.18 84.57
Fractional positions:
Sn1 0.000 0.000 0.000
Sn2 0.750 0.250 0.500
Bi1 0.107 0.625 0.982
Bi2 0.375 0.357 0.482
Bi3 0.643 0.125 0.018
Bi4 0.875 0.893 0.518
Br1 0.250 0.750 0.500
Br2 0.500 0.500 0.000

***

The following is a DFT calculation (PBE) of crystalline TlInBPb2 at its relaxed geometry.

Summary:
* ΔH_f (0 K): 21.5 kcal/mol of atoms
* uncorrected energy: -14.531 eV per cell

abc: 6.233 6.233 4.080
angles: 90.00 90.00 90.00
Fractional positions:
Tl1 0.000 0.000 0.000
In1 0.500 0.500 0.500
B1 0.000 0.000 0.500
Pb1 0.000 0.500 0.000
Pb2 0.500 0.000 0.000

***

The following is a DFT calculation (PBE) of crystalline MgRePb2 at its relaxed geometry.

Summary:
* ΔH_f (0 K): 13.1 kcal/mol of atoms
* uncorrected energy: -19.189 eV per cell

abc: 7.329 7.329 7.329
angles: 155.67 142.76 44.99
Fractional positions:
Mg1 0.000 0.000 0.000
Re1 0.822 0.322 0.500
Pb1 0.326 0.826 0.500
Pb2 0.627 0.627 0.000

***

The following is a DFT calculation (PBE) of crystalline Ca3SbBr at its relaxed geometry.

Summary:
* raw formation energy: -0.58 eV per atom
* uncorrected energy: -14.691 eV per cell

abc: 5.972 5.972 5.972
angles: 90.00 90.00 90.00
Fractional positions:
Ca1 0.000 0.000 0.500
Ca2 0.000 0.500 0.000
Ca3 0.500 0.000 0.000
Sb1 0.000 0.000 0.000
Br1 0.500 0.500 0.500

***

The following is a DFT calculation (PBE) of crystalline CsPdO4 at its relaxed geometry.

Summary:
* raw formation energy: -0.08 eV per atom
* uncorrected energy: -52.683 eV per cell

abc: 5.803 5.803 8.582
angles: 108.63 108.63 89.37
Fractional positions:
Cs1 0.139 0.861 0.750
Cs2 0.861 0.139 0.250
Pd1 0.354 0.646 0.250
Pd2 0.646 0.354 0.750
O1 0.124 0.684 0.357
O2 0.302 0.337 0.097
O3 0.316 0.876 0.143
O4 0.337 0.302 0.597
O5 0.663 0.698 0.403
O6 0.684 0.124 0.857
O7 0.698 0.663 0.903
O8 0.876 0.316 0.643

***

The following is a DFT calculation (PBE) of crystalline Ce3NdDy2Sb6 at its relaxed geometry.

Summary:
* raw formation energy: -1.10 eV per atom
* uncorrected energy: -69.674 eV per cell

abc: 7.737 7.737 7.735
angles: 99.61 99.61 120.00
Fractional positions:
Ce1 0.000 0.000 0.000
Ce2 0.335 0.665 0.000
Ce3 0.665 0.335 0.000
Nd1 0.500 0.500 0.500
Dy1 0.167 0.833 0.500
Dy2 0.833 0.167 0.500
Sb1 0.079 0.417 0.252
Sb2 0.243 0.243 0.745
Sb3 0.417 0.079 0.252
Sb4 0.583 0.921 0.748
Sb5 0.757 0.757 0.255
Sb6 0.921 0.583 0.748

***

The following is a DFT calculation (PBE) of crystalline TaTcNi2 at its relaxed geometry.

Summary:
* ΔH_f (0 K): 3.7 kcal/mol of atoms
* uncorrected energy: -33.143 eV per cell

abc: 8.826 8.826 8.826
angles: 17.69 17.69 17.69
Fractional positions:
Ta1 0.000 0.000 0.000
Tc1 0.500 0.500 0.500
Ni1 0.247 0.247 0.247
Ni2 0.753 0.753 0.753

***

The following is a DFT calculation (PBE) of crystalline Sr2PrTlS4 at its relaxed geometry.

Summary:
* raw formation energy: -1.73 eV per atom
* uncorrected energy: -40.846 eV per cell

abc: 7.290 4.286 7.566
angles: 90.00 108.73 90.00
Fractional positions:
Sr1 0.000 0.000 0.000
Sr2 0.000 0.500 0.500
Pr1 0.500 0.000 0.500
Tl1 0.500 0.500 0.000
S1 0.245 0.000 0.723
S2 0.257 0.500 0.269
S3 0.743 0.500 0.731
S4 0.755 0.000 0.277

***

The following is a DFT calculation (PBE) of crystalline ThP2Rh5Pb at its relaxed geometry.

Summary:
* ΔH_f (0 K): -14.2 kcal/mol of atoms
* uncorrected energy: -64.261 eV per cell

abc: 4.073 4.073 10.376
angles: 90.00 90.00 90.00
Fractional positions:
Th1 0.000 0.000 0.000
P1 0.500 0.500 0.219
P2 0.500 0.500 0.781
Rh1 0.000 0.500 0.313
Rh2 0.000 0.500 0.687
Rh3 0.500 0.000 0.313
Rh4 0.500 0.000 0.687
Rh5 0.500 0.500 0.000
Pb1 0.000 0.000 0.500

***

The following is a DFT calculation (PBE) of crystalline Pr8Si3AuBr4 at its relaxed geometry.

Summary:
* raw formation energy: -1.04 eV per atom
* uncorrected energy: -81.136 eV per cell

abc: 8.811 8.811 8.811
angles: 58.89 58.89 58.89
Fractional positions:
Pr1 0.232 0.744 0.744
Pr2 0.238 0.238 0.238
Pr3 0.256 0.256 0.768
Pr4 0.256 0.768 0.256
Pr5 0.744 0.232 0.744
Pr6 0.744 0.744 0.232
Pr7 0.762 0.762 0.762
Pr8 0.768 0.256 0.256
Si1 0.000 0.000 0.500
Si2 0.000 0.500 0.000
Si3 0.500 0.000 0.000
Au1 0.500 0.500 0.500
Br1 0.000 0.000 0.000
Br2 0.000 0.500 0.500
Br3 0.500 0.000 0.500
Br4 0.500 0.500 0.000